{
  "formula": "KCu4Te2Se",
  "functional": "GGA-PBE",
  "state": "relaxed",
  "formation_energy_uncorrected_ev_per_atom": -0.18,
  "m_tot_mub_per_fu": 0.0,
  "lattice_angstrom": [[-2.506, -4.506, 2.787], [-1.317, -1.453, -5.523], [7.411, -0.348, 0.933]],
  "species": ["K", "Cu", "Cu", "Cu", "Cu", "Te", "Te", "Se"],
  "frac_coords": [[0.039, 0.039, 0.079], [0.512, 0.512, 0.676], [0.487, 0.795, 0.282], [0.795, 0.487, 0.282], [0.164, 0.164, 0.676], [0.754, 0.254, 0.507], [0.254, 0.754, 0.507], [0.495, 0.495, 0.990]]
}